Run w
A relaxed structure of CaTl6Pb, computed with PBE.

Cell and atoms, written as extended XYZ:
```
8
Lattice="5.018 0.000 0.000 0.000 5.018 0.000 0.000 0.000 9.499" Properties=species:S:1:pos:R:3 pbc="T T T"
Ca 0.000 0.000 0.000
Tl 0.000 2.509 2.359
Tl 0.000 2.509 7.141
Tl 2.509 0.000 2.359
Tl 2.509 0.000 7.141
Tl 2.509 2.509 0.000
Tl 2.509 2.509 4.750
Pb 0.000 0.000 4.750
```

- Density of states at the Fermi level: 4.0 states/eV/f.u.
- Spin magnetization: 0.000 μB per formula unit

=====

Run x
A relaxed structure of CaTl6Pb, computed with PBE.

Cell and atoms, written as extended XYZ:
```
8
Lattice="7.291 0.000 0.000 0.000 7.291 0.000 0.000 0.000 4.496" Properties=species:S:1:pos:R:3 pbc="T T T"
Ca 0.000 0.000 0.000
Tl 0.000 3.646 0.000
Tl 1.843 1.843 2.248
Tl 1.843 5.449 2.248
Tl 3.646 0.000 0.000
Tl 5.449 1.843 2.248
Tl 5.449 5.449 2.248
Pb 3.646 3.646 0.000
```

- Density of states at the Fermi level: 3.3 states/eV/f.u.
- Spin magnetization: 0.000 μB per formula unit

=====

Q: Which of them is the most stable? A: run x.

=====

Run w
A relaxed structure of CaYTlPb, computed with PBE.

Cell and atoms, written as extended XYZ:
```
4
Lattice="3.949 0.000 0.000 0.000 3.949 0.000 0.000 0.000 7.450" Properties=species:S:1:pos:R:3 pbc="T T T"
Ca 0.000 0.000 0.000
Y 0.000 0.000 3.710
Tl 1.974 1.974 5.529
Pb 1.974 1.974 1.909
```

- Density of states at the Fermi level: 3.6 states/eV/f.u.
- Spin magnetization: 0.000 μB per formula unit

=====

Run x
A relaxed structure of CaYTlPb, computed with PBE.

Cell and atoms, written as extended XYZ:
```
4
Lattice="0.000 3.868 3.868 3.868 0.000 3.868 3.868 3.868 0.000" Properties=species:S:1:pos:R:3 pbc="T T T"
Ca 0.000 0.000 0.000
Y 3.868 3.868 3.868
Tl 1.934 1.934 1.934
Pb 5.802 5.802 5.802
```

- Density of states at the Fermi level: 2.2 states/eV/f.u.
- Spin magnetization: 0.000 μB per formula unit

=====

Q: Which of them is the most stable? A: run w.

=====

Run w
A relaxed structure of CaTm5Pb6, computed with PBE.

Cell and atoms, written as extended XYZ:
```
12
Lattice="5.658 0.000 0.000 0.000 7.160 0.000 -1.185 0.000 8.282" Properties=species:S:1:pos:R:3 pbc="T T T"
Ca 0.000 0.000 0.000
Tm 0.000 3.580 0.000
Tm 1.120 0.000 5.514
Tm 1.120 3.580 5.551
Tm 3.352 0.000 2.768
Tm 3.352 3.580 2.731
Pb 0.529 1.811 2.793
Pb 0.529 5.349 2.793
Pb 2.829 1.806 0.000
Pb 2.829 5.354 0.000
Pb 3.943 1.811 5.489
Pb 3.943 5.349 5.489
```

- Density of states at the Fermi level: 9.9 states/eV/f.u.
- Spin magnetization: 0.000 μB per formula unit

=====

Run x
A relaxed structure of CaTm5Pb6, computed with PBE.

Cell and atoms, written as extended XYZ:
```
12
Lattice="4.643 -7.140 0.000 4.643 7.140 0.000 -2.456 0.000 5.210" Properties=species:S:1:pos:R:3 pbc="T T T"
Ca 0.000 0.000 0.000
Tm 3.416 4.813 2.605
Tm 4.643 2.391 0.000
Tm 3.416 0.000 2.605
Tm 4.643 -2.391 0.000
Tm 3.416 -4.813 2.605
Pb 1.732 2.420 1.318
Pb 0.518 0.000 3.902
Pb 1.732 -2.420 1.318
Pb 5.099 2.420 3.891
Pb 6.313 0.000 1.307
Pb 5.099 -2.420 3.891
```

- Density of states at the Fermi level: 6.9 states/eV/f.u.
- Spin magnetization: 0.000 μB per formula unit

=====

Q: Which of them is the most stable? A: run x.

=====

Run w
A relaxed structure of CaTm4Pb5, computed with PBE.

Cell and atoms, written as extended XYZ:
```
10
Lattice="-5.026 5.026 3.081 5.026 -5.026 3.081 5.026 5.026 -3.081" Properties=species:S:1:pos:R:3 pbc="T T T"
Ca 0.000 0.000 0.000
Tm 6.341 2.351 0.015
Tm 2.351 3.712 0.015
Tm 2.675 1.314 3.097
Tm -1.314 2.675 3.097
Pb 3.471 0.753 0.016
Pb 4.273 -1.556 3.097
Pb 0.000 0.000 3.080
Pb 0.753 6.582 0.016
Pb 1.556 4.273 3.097
```

- Density of states at the Fermi level: 8.8 states/eV/f.u.
- Spin magnetization: 0.000 μB per formula unit

=====

Run x
A relaxed structure of CaTm4Pb5, computed with PBE.

Cell and atoms, written as extended XYZ:
```
10
Lattice="3.522 0.000 0.000 0.000 3.522 0.000 0.000 0.000 22.422" Properties=species:S:1:pos:R:3 pbc="T T T"
Ca 0.000 0.000 0.000
Tm 0.000 0.000 4.566
Tm 0.000 0.000 9.003
Tm 0.000 0.000 13.419
Tm 0.000 0.000 17.856
Pb 1.761 1.761 2.351
Pb 1.761 1.761 6.782
Pb 1.761 1.761 11.211
Pb 1.761 1.761 15.640
Pb 1.761 1.761 20.070
```

- Density of states at the Fermi level: 5.7 states/eV/f.u.
- Spin magnetization: 0.000 μB per formula unit

=====

Q: Which of them is the most stable? A: run x.

=====

Run w
A relaxed structure of CaV3Pb, computed with PBE.

Cell and atoms, written as extended XYZ:
```
5
Lattice="5.265 0.000 0.000 0.000 5.265 0.000 0.000 0.000 5.265" Properties=species:S:1:pos:R:3 pbc="T T T"
Ca 0.000 0.000 0.000
V 0.000 2.632 2.632
V 2.632 0.000 2.632
V 2.632 2.632 0.000
Pb 2.632 2.632 2.632
```

- Density of states at the Fermi level: 4.3 states/eV/f.u.
- Spin magnetization: 10.820 μB per formula unit

=====

Run x
A relaxed structure of CaV3Pb, computed with PBE.

Cell and atoms, written as extended XYZ:
```
5
Lattice="4.569 0.000 0.000 0.000 4.569 0.000 0.000 0.000 4.569" Properties=species:S:1:pos:R:3 pbc="T T T"
Ca 0.000 0.000 0.000
V 0.000 0.000 2.284
V 0.000 2.284 0.000
V 2.284 0.000 0.000
Pb 2.284 2.284 2.284
```

- Density of states at the Fermi level: 5.4 states/eV/f.u.
- Spin magnetization: 0.000 μB per formula unit

=====

Q: Which of them is the most stable? A: run w.

=====

Run w
A relaxed structure of CaPb2W, computed with PBE.

Cell and atoms, written as extended XYZ:
```
4
Lattice="-2.422 2.422 4.018 2.422 -2.422 4.018 2.422 2.422 -4.018" Properties=species:S:1:pos:R:3 pbc="T T T"
Ca 0.000 0.000 0.000
Pb 2.422 0.000 2.009
Pb 0.000 2.422 2.009
W 0.000 0.000 4.018
```

- Density of states at the Fermi level: 4.3 states/eV/f.u.
- Spin magnetization: 1.138 μB per formula unit

=====

Run x
A relaxed structure of CaPb2W, computed with PBE.

Cell and atoms, written as extended XYZ:
```
4
Lattice="3.535 0.000 0.000 0.000 3.535 0.000 0.000 0.000 7.760" Properties=species:S:1:pos:R:3 pbc="T T T"
Ca 0.000 0.000 0.000
Pb 1.768 1.768 2.247
Pb 1.768 1.768 5.513
W 0.000 0.000 3.880
```

- Density of states at the Fermi level: 2.8 states/eV/f.u.
- Spin magnetization: 0.000 μB per formula unit

=====

Run y
A relaxed structure of CaPb2W, computed with PBE.

Cell and atoms, written as extended XYZ:
```
4
Lattice="3.192 0.000 0.000 0.000 4.877 0.000 -0.799 0.000 6.277" Properties=species:S:1:pos:R:3 pbc="T T T"
Ca 0.000 0.000 0.000
Pb 0.549 2.439 4.624
Pb 1.844 2.439 1.653
W 1.197 0.000 3.139
```

- Density of states at the Fermi level: 2.8 states/eV/f.u.
- Spin magnetization: 0.000 μB per formula unit

=====

Q: Which of them is the most stable? A: run x.

=====

Run w
A relaxed structure of CaPb2W, computed with PBE.

Cell and atoms, written as extended XYZ:
```
4
Lattice="4.879 -1.625 0.000 4.879 1.625 0.000 -1.112 0.000 6.184" Properties=species:S:1:pos:R:3 pbc="T T T"
Ca 0.000 0.000 0.000
Pb 1.530 0.000 4.446
Pb 7.115 0.000 1.738
W 4.323 0.000 3.092
```

- Density of states at the Fermi level: 3.4 states/eV/f.u.
- Spin magnetization: 0.000 μB per formula unit

=====

Run x
A relaxed structure of CaPb2W, computed with PBE.

Cell and atoms, written as extended XYZ:
```
4
Lattice="1.919 -2.442 0.000 1.919 2.442 0.000 0.000 0.000 11.474" Properties=species:S:1:pos:R:3 pbc="T T T"
Ca 0.000 0.000 0.000
Pb 0.000 0.000 6.730
Pb 1.919 0.000 2.941
W 1.919 0.000 9.067
```

- Density of states at the Fermi level: 3.2 states/eV/f.u.
- Spin magnetization: 0.000 μB per formula unit

=====

Q: Which of them is the most stable? A: run w.

=====

Run w
A relaxed structure of CaPb2W, computed with PBE.

Cell and atoms, written as extended XYZ:
```
4
Lattice="3.182 0.000 0.000 0.000 5.104 0.000 0.000 0.000 6.094" Properties=species:S:1:pos:R:3 pbc="T T T"
Ca 0.000 0.000 0.000
Pb 0.000 0.000 3.167
Pb 1.591 2.552 1.334
W 1.591 2.552 4.464
```

- Density of states at the Fermi level: 2.8 states/eV/f.u.
- Spin magnetization: 0.000 μB per formula unit

=====

Run x
A relaxed structure of CaPb2W, computed with PBE.

Cell and atoms, written as extended XYZ:
```
4
Lattice="3.484 0.000 0.000 0.000 4.946 0.000 0.000 0.000 5.691" Properties=species:S:1:pos:R:3 pbc="T T T"
Ca 0.000 0.000 0.000
Pb 0.000 2.473 2.845
Pb 1.742 2.473 0.000
W 1.742 0.000 2.845
```

- Density of states at the Fermi level: 3.0 states/eV/f.u.
- Spin magnetization: 0.000 μB per formula unit

=====

Q: Which of them is the most stable? A: run x.

=====

Run w
A relaxed structure of CaPb2W, computed with PBE.

Cell and atoms, written as extended XYZ:
```
4
Lattice="0.000 3.762 3.762 3.762 0.000 3.762 3.762 3.762 0.000" Properties=species:S:1:pos:R:3 pbc="T T T"
Ca 0.000 0.000 0.000
Pb 1.881 1.881 1.881
Pb 3.762 3.762 3.762
W 5.643 5.643 5.643
```

- Density of states at the Fermi level: 3.5 states/eV/f.u.
- Spin magnetization: 3.348 μB per formula unit

=====

Run x
A relaxed structure of CaPb2W, computed with PBE.

Cell and atoms, written as extended XYZ:
```
4
Lattice="1.795 1.036 9.123 -1.795 1.036 9.123 0.000 -2.072 9.123" Properties=species:S:1:pos:R:3 pbc="T T T"
Ca 0.000 0.000 0.000
Pb 0.000 0.000 6.578
Pb 0.000 0.000 20.790
W 0.000 0.000 13.684
```

- Density of states at the Fermi level: 2.2 states/eV/f.u.
- Spin magnetization: 0.001 μB per formula unit

=====

Run y
A relaxed structure of CaPb2W, computed with PBE.

Cell and atoms, written as extended XYZ:
```
8
Lattice="-2.498 2.498 9.725 2.498 -2.498 9.725 2.498 2.498 -9.725" Properties=species:S:1:pos:R:3 pbc="T T T"
Ca 0.000 0.000 0.000
Ca 0.000 2.498 4.862
Pb 1.249 -0.895 7.294
Pb 1.602 1.249 2.431
Pb 1.249 3.393 -2.431
Pb 0.895 1.249 12.156
W 2.498 0.000 4.862
W 0.000 0.000 9.725
```

- Density of states at the Fermi level: 2.3 states/eV/f.u.
- Spin magnetization: 2.000 μB per formula unit

=====

Q: Which of them is the most stable? A: run x.

=====

Run w
A relaxed structure of CaPbW3, computed with PBE.

Cell and atoms, written as extended XYZ:
```
5
Lattice="5.087 0.000 0.000 0.000 5.087 0.000 0.000 0.000 5.087" Properties=species:S:1:pos:R:3 pbc="T T T"
Ca 0.000 0.000 0.000
Pb 2.544 2.544 2.544
W 0.000 2.544 2.544
W 2.544 0.000 2.544
W 2.544 2.544 0.000
```

- Density of states at the Fermi level: 7.7 states/eV/f.u.
- Spin magnetization: 0.000 μB per formula unit

=====

Run x
A relaxed structure of CaPbW3, computed with PBE.

Cell and atoms, written as extended XYZ:
```
5
Lattice="4.754 0.000 0.000 0.000 4.754 0.000 0.000 0.000 4.754" Properties=species:S:1:pos:R:3 pbc="T T T"
Ca 0.000 0.000 0.000
Pb 2.377 2.377 2.377
W 0.000 0.000 2.377
W 0.000 2.377 0.000
W 2.377 0.000 0.000
```

- Density of states at the Fermi level: 7.0 states/eV/f.u.
- Spin magnetization: 0.000 μB per formula unit

=====

Q: Which of them is the most stable? A: run w.

=====

Run w
A relaxed structure of Ca3PbW, computed with PBE.

Cell and atoms, written as extended XYZ:
```
5
Lattice="5.546 0.000 0.000 0.000 5.546 0.000 0.000 0.000 5.546" Properties=species:S:1:pos:R:3 pbc="T T T"
Ca 0.000 0.000 2.773
Ca 0.000 2.773 0.000
Ca 2.773 0.000 0.000
Pb 2.773 2.773 2.773
W 0.000 0.000 0.000
```

- Density of states at the Fermi level: 3.3 states/eV/f.u.
- Spin magnetization: 0.000 μB per formula unit

=====

Run x
A relaxed structure of Ca3PbW, computed with PBE.

Cell and atoms, written as extended XYZ:
```
5
Lattice="5.919 0.000 0.000 0.000 5.919 0.000 0.000 0.000 5.919" Properties=species:S:1:pos:R:3 pbc="T T T"
Ca 0.000 0.000 2.960
Ca 0.000 2.960 0.000
Ca 2.960 0.000 0.000
Pb 0.000 0.000 0.000
W 2.960 2.960 2.960
```

- Density of states at the Fermi level: 3.5 states/eV/f.u.
- Spin magnetization: 5.833 μB per formula unit

=====

Q: Which of them is the most stable? A: run w.

=====

Run w
A relaxed structure of CaY3Pb, computed with PBE.

Cell and atoms, written as extended XYZ:
```
5
Lattice="5.575 0.000 0.000 0.000 5.575 0.000 0.000 0.000 5.575" Properties=species:S:1:pos:R:3 pbc="T T T"
Ca 0.000 0.000 0.000
Y 0.000 0.000 2.788
Y 0.000 2.788 0.000
Y 2.788 0.000 0.000
Pb 2.788 2.788 2.788
```

- Density of states at the Fermi level: 6.9 states/eV/f.u.
- Spin magnetization: 0.000 μB per formula unit

=====

Run x
A relaxed structure of CaY3Pb, computed with PBE.

Cell and atoms, written as extended XYZ:
```
5
Lattice="5.874 0.000 0.000 0.000 5.874 0.000 0.000 0.000 5.874" Properties=species:S:1:pos:R:3 pbc="T T T"
Ca 0.000 0.000 0.000
Y 0.000 2.937 2.937
Y 2.937 0.000 2.937
Y 2.937 2.937 0.000
Pb 2.937 2.937 2.937
```

- Density of states at the Fermi level: 7.7 states/eV/f.u.
- Spin magnetization: 1.049 μB per formula unit

=====

Q: Which of them is the most stable? A: run x.